1.
An optimized crystal structure of NaGeBi2I. Source: Alexandria, functional GGA-PBEsol.

abc: 5.463 5.463 5.472
angles: 90.00 90.00 90.00
Atoms (fractional coordinates):
I 0.000 0.000 0.500
Na 0.000 0.000 0.000
Ge 0.500 0.500 0.500
Bi 0.000 0.500 0.000
Bi 0.500 0.000 0.000

Raw total energy ... -2.58 eV per atom
Size of the total moment ... 0.0 μB/cell
E_form (uncorrected) ... 0.7578 eV per atom



2.
An optimized crystal structure of SnGe2BiI. Source: Alexandria, functional GGA-PBEsol.

abc: 5.453 5.453 6.128
angles: 90.00 90.00 90.00
Atoms (fractional coordinates):
I 0.500 0.500 0.500
Ge 0.000 0.500 0.000
Ge 0.500 0.000 0.000
Bi 0.000 0.000 0.000
Sn 0.000 0.000 0.500

Raw total energy ... -3.19 eV per atom
Size of the total moment ... 0.0 μB/cell
E_form (uncorrected) ... 0.8520 eV per atom



3.
An optimized crystal structure of GeBiTeI2. Source: Alexandria, functional GGA-PBEsol.

abc: 5.922 5.922 5.953
angles: 90.00 90.00 90.00
Atoms (fractional coordinates):
I 0.000 0.500 0.000
I 0.500 0.000 0.000
Ge 0.500 0.500 0.500
Te 0.000 0.000 0.500
Bi 0.000 0.000 0.000

Raw total energy ... -2.73 eV per atom
Size of the total moment ... 0.9 μB/cell
E_form (uncorrected) ... 0.5313 eV per atom



4.
An optimized crystal structure of In3GeBi. Source: Alexandria, functional GGA-PBEsol.

abc: 5.245 5.245 5.245
angles: 90.00 90.00 90.00
Atoms (fractional coordinates):
Ge 0.000 0.000 0.000
Bi 0.500 0.500 0.500
In 0.000 0.500 0.000
In 0.000 0.000 0.500
In 0.500 0.000 0.000

Raw total energy ... -3.36 eV per atom
Formation enthalpy at 0 K ... 0.2752 eV/atom
Size of the total moment ... 0.0 μB/cell
Distance to the lowest polymorph of the same formula ... 0 meV per atom



5.
An optimized crystal structure of In3GeBi. Source: Alexandria, functional GGA-PBEsol.

abc: 5.761 5.761 5.761
angles: 90.00 90.00 90.00
Atoms (fractional coordinates):
Ge 0.500 0.500 0.500
Bi 0.000 0.000 0.000
In 0.000 0.500 0.000
In 0.000 0.000 0.500
In 0.500 0.000 0.000

Raw total energy ... -2.74 eV per atom
Formation enthalpy at 0 K ... 0.8968 eV/atom
Size of the total moment ... 0.5 μB/cell
Distance to the lowest polymorph of the same formula ... 622 meV per atom



6.
An optimized crystal structure of InGeBiO2. Source: Alexandria, functional GGA-PBEsol.

abc: 4.004 4.004 5.545
angles: 90.00 90.00 90.00
Atoms (fractional coordinates):
Ge 0.000 0.000 0.000
Bi 0.000 0.000 0.500
O 0.000 0.500 0.000
O 0.500 0.000 0.000
In 0.500 0.500 0.500

Raw total energy ... -4.79 eV per atom
Size of the total moment ... 0.0 μB/cell
E_form (uncorrected) ... -0.2523 eV per atom



7.
An optimized crystal structure of GeBiIr3. Source: Alexandria, functional GGA-PBEsol.

abc: 4.584 4.584 4.584
angles: 90.00 90.00 90.00
Atoms (fractional coordinates):
Ge 0.000 0.000 0.000
Ir 0.000 0.500 0.000
Ir 0.000 0.000 0.500
Ir 0.500 0.000 0.000
Bi 0.500 0.500 0.500

Raw total energy ... -6.82 eV per atom
Formation enthalpy at 0 K ... 0.9203 eV/atom
Size of the total moment ... 0.0 μB/cell



8.
An optimized crystal structure of KGe3Bi. Source: Alexandria, functional GGA-PBEsol.

abc: 5.540 5.540 5.540
angles: 90.00 90.00 90.00
Atoms (fractional coordinates):
K 0.500 0.500 0.500
Ge 0.000 0.500 0.000
Ge 0.000 0.000 0.500
Ge 0.500 0.000 0.000
Bi 0.000 0.000 0.000

Raw total energy ... -3.32 eV per atom
Formation enthalpy at 0 K ... 0.7271 eV/atom
Size of the total moment ... 0.0 μB/cell



9.
An optimized crystal structure of K2GeBi. Source: Alexandria, functional GGA-PBEsol.

abc: 5.649 5.649 5.649
angles: 60.00 60.00 60.00
Atoms (fractional coordinates):
K 0.250 0.250 0.250
K 0.750 0.750 0.750
Ge 0.000 0.000 0.000
Bi 0.500 0.500 0.500

Raw total energy ... -2.75 eV per atom
Formation enthalpy at 0 K ... 0.1266 eV/atom
Size of the total moment ... 0.0 μB/cell



10.
An optimized crystal structure of KGeBiS4. Source: Alexandria, functional GGA-PBEsol.

abc: 6.557 6.681 16.494
angles: 90.00 94.69 90.00
Atoms (fractional coordinates):
K 0.263 0.249 0.534
K 0.237 0.749 0.966
K 0.737 0.751 0.466
K 0.763 0.251 0.034
Ge 0.445 0.764 0.659
Ge 0.055 0.264 0.841
Ge 0.555 0.236 0.341
Ge 0.945 0.736 0.159
Bi 0.544 0.215 0.779
Bi 0.956 0.715 0.721
Bi 0.456 0.785 0.221
Bi 0.044 0.285 0.279
S 0.865 0.995 0.857
S 0.635 0.495 0.643
S 0.135 0.005 0.143
S 0.365 0.505 0.357
S 0.158 0.755 0.580
S 0.342 0.255 0.920
S 0.842 0.245 0.420
S 0.658 0.745 0.080
S 0.841 0.508 0.866
S 0.659 0.008 0.634
S 0.159 0.492 0.134
S 0.341 0.992 0.366
S 0.364 0.825 0.785
S 0.136 0.325 0.715
S 0.636 0.175 0.215
S 0.864 0.675 0.285

Raw total energy ... -4.64 eV per atom
Size of the total moment ... 0.0 μB/cell
E_form (uncorrected) ... -0.6516 eV per atom



11.
An optimized crystal structure of Li3GeBi. Source: Alexandria, functional GGA-PBEsol.

abc: 4.718 4.718 4.718
angles: 90.00 90.00 90.00
Atoms (fractional coordinates):
Ge 0.000 0.000 0.000
Bi 0.500 0.500 0.500
Li 0.000 0.500 0.000
Li 0.000 0.000 0.500
Li 0.500 0.000 0.000

Raw total energy ... -3.02 eV per atom
Formation enthalpy at 0 K ... 0.0058 eV/atom
Size of the total moment ... 0.0 μB/cell



12.
An optimized crystal structure of Li2NiGeBi. Source: Alexandria, functional GGA-PBEsol.

abc: 4.383 4.601 4.601
angles: 90.00 90.00 90.00
Atoms (fractional coordinates):
Ni 0.000 0.000 0.000
Ge 0.500 0.000 0.000
Bi 0.500 0.500 0.500
Li 0.000 0.000 0.500
Li 0.000 0.500 0.000

Raw total energy ... -3.93 eV per atom
Formation enthalpy at 0 K ... -0.0676 eV/atom
Size of the total moment ... 0.0 μB/cell



Question: The highest raw total energy belongs to which entry?
Answer: NaGeBi2I